PBE Na2HfZnGa2Ir2, optimized geometry; total DFT energy (no corrections) = -4.91 eV per atom
1.0
4.5122 0.0000 0.0000
0.0000 4.5122 0.0000
0.0000 0.0000 6.4282
Ir Zn Ga Hf Na
2 1 2 1 2
Direct
0.5000 0.0000 0.2408
0.0000 0.5000 0.7592
0.5000 0.5000 0.5000
0.0000 0.0000 0.5000
0.5000 0.5000 0.0000
0.0000 0.0000 0.0000
0.5000 0.0000 0.7267
0.0000 0.5000 0.2733